Entry 1:
The following is a DFT calculation (PBE) of Sb2TeRuAu after structural relaxation.

Properties
The energy relative to the lowest polymorph listed for this composition is 0.000 eV/atom. For the total DFT energy (no corrections), the calculation gives -4.272 eV per atom. The calculation puts the density of states at the Fermi level at 3.59 states/eV per cell. As for the energy relative to the elements, uncorrected: 0.52 eV per atom. The total moment comes out at 0.0 μB per formula unit.

a b c (Å): 5.0212 5.0212 5.3984
angles (deg): 90.00 90.00 90.00
Closest atoms and distances in Å follow each position.
Space group P4/mmm (No. 123)
Inequivalent atoms, fractional coordinates:
Sb 0.0000 0.5000 0.0000 [2 per cell]  2 Ru 2.51
Te 0.0000 0.0000 0.5000 [1 per cell]  2 Ru 2.70
Ru 0.0000 0.0000 0.0000 [1 per cell]  4 Sb 2.51, 2 Te 2.70
Au 0.5000 0.5000 0.5000 [1 per cell]  4 Te 3.55, 8 Sb 3.69


Entry 2:
The following is a DFT calculation (PBE) of YPuInRu after structural relaxation.

Properties
The energy relative to the lowest polymorph listed for this composition is 0.000 eV/atom. For the total DFT energy (no corrections), the calculation gives -8.496 eV per atom. The calculation puts the density of states at the Fermi level at 7.19 states/eV per cell. The formation energy is -0.29 eV/atom. The total moment comes out at 4.6 μB per formula unit.

a b c (Å): 3.3300 3.3300 8.3712
angles (deg): 90.00 90.00 90.00
Closest atoms and distances in Å follow each position.
Space group P4mm (No. 99)
Inequivalent atoms, fractional coordinates:
Y 0.0000 0.0000 0.0000 [1 per cell]  4 Ru 2.95
Pu 0.0000 0.0000 0.5855 [1 per cell]  4 Ru 2.90
In 0.5000 0.5000 0.2915 [1 per cell]  4 In 3.33, 4 Y 3.39, 4 Pu 3.41
Ru 0.5000 0.5000 0.7878 [1 per cell]  4 Pu 2.90, 4 Y 2.95